Material: BaAg2Pt
Method: DFT, PBE
State: relaxed

The structure belongs to space group I-42d (No. 122); the cell edges are 4.960, 4.960 and 19.185 Å and the angles 90.00°, 90.00° and 90.00°. The asymmetric unit holds Ba at (0.000, 0.000, 0.000), Ag at (0.076, 0.250, 0.625) and Pt at (0.000, 0.000, 0.500).

The total energy is -3.5929 eV/atom. The calculation puts the offset from the most stable computed form at 0.137 eV per atom. The calculated formation energy comes out at -176 meV/atom. The value obtained for the volume is 118.0 Å³/f.u.